1.
ZrMnO2F: relaxed, PBEsol.

Calculated values
ΔE_f (raw): -7.89 eV/f.u.
Spin magnetization: 0.417 μB/atom
Mass density: 6.04 Mg/m³
VASP energy: -39.17 eV for the cell shown

a = 3.7844 Å, b = 3.7844 Å, c = 3.7841 Å
α = 90.00°, β = 90.00°, γ = 90.00°
Space group P4/mmm (No. 123)
Asymmetric unit:
Zr: 0.0000 0.0000 0.0000
Mn: 0.5000 0.5000 0.5000
O: 0.0000 0.5000 0.5000
F: 0.5000 0.5000 0.0000

***

2.
MnTe2PF: relaxed, PBEsol.

Calculated values
ΔE_f (raw): 0.28 eV/f.u.
Spin magnetization: 0.432 μB/atom
Mass density: 5.73 Mg/m³
VASP energy: -24.25 eV for the cell shown

a = 5.0005 Å, b = 5.0005 Å, c = 4.1719 Å
α = 90.00°, β = 90.00°, γ = 90.00°
Space group P4/mmm (No. 123)
Asymmetric unit:
Mn: 0.0000 0.0000 0.0000
Te: 0.0000 0.5000 0.0000
P: 0.0000 0.0000 0.5000
F: 0.5000 0.5000 0.5000

***

3.
Mn2TePF: relaxed, PBEsol.

Calculated values
ΔE_f (raw): 4.87 eV/f.u.
Spin magnetization: 1.612 μB/atom
Mass density: 3.79 Mg/m³
VASP energy: -25.89 eV for the cell shown

a = 5.0310 Å, b = 5.0310 Å, c = 4.9761 Å
α = 90.00°, β = 90.00°, γ = 90.00°
Space group P4/mmm (No. 123)
Asymmetric unit:
Mn: 0.0000 0.5000 0.0000
Te: 0.0000 0.0000 0.0000
P: 0.0000 0.0000 0.5000
F: 0.5000 0.5000 0.5000

***

4.
MnPtF6: relaxed, PBEsol.

Calculated values
ΔE_f (raw): -13.97 eV/f.u.
Spin magnetization: 0.625 μB/atom
Mass density: 5.66 Mg/m³
VASP energy: -126.79 eV for the cell shown

a = 5.1648 Å, b = 5.1648 Å, c = 13.8730 Å
α = 90.00°, β = 90.00°, γ = 120.00°
Space group R-3 (No. 148, hexagonal axes)
Asymmetric unit:
Mn: 0.0000 0.0000 0.0000
Pt: 0.0000 0.0000 0.5000
F: 0.0042 0.6269 0.2498

***

5.
Rb2MnF4: relaxed, PBEsol.

Calculated values
ΔE_f (raw): -18.03 eV/f.u.
Spin magnetization: 0.714 μB/atom
Mass density: 4.11 Mg/m³
VASP energy: -75.11 eV for the cell shown

a = 4.2189 Å, b = 4.2189 Å, c = 13.7182 Å
α = 90.00°, β = 90.00°, γ = 90.00°
Space group I4/mmm (No. 139)
Asymmetric unit:
Rb: 0.0000 0.0000 0.1460
Mn: 0.0000 0.0000 0.5000
F: 0.0000 0.0000 0.3471
F: 0.0000 0.5000 0.0000

***

6.
Rb2MnF6: relaxed, PBEsol.

Calculated values
ΔE_f (raw): -24.36 eV/f.u.
Spin magnetization: 0.333 μB/atom
Mass density: 3.77 Mg/m³
VASP energy: -190.93 eV for the cell shown

a = 8.4264 Å, b = 8.4264 Å, c = 8.4264 Å
α = 90.00°, β = 90.00°, γ = 90.00°
Space group Fm-3m (No. 225)
Asymmetric unit:
Rb: 0.2500 0.2500 0.2500
Mn: 0.0000 0.0000 0.0000
F: 0.0000 0.0000 0.2155